[1]
{"formula": "Th3Sn2Os", "functional": "GGA-PBE", "state": "relaxed", "polymorph_energy_mev_per_atom": 149.7, "volume_a3_per_atom": 30.17, "delta_e_f_kj_per_mol_atoms": -31, "space_group": "C2/c", "e_tot_ev_per_atom": -7.24, "cell": [[7.231, -3.122, 0.000], [7.231, 3.122, 0.000], [-2.426, 0.000, 8.019]], "species": ["Th", "Th", "Th", "Th", "Th", "Th", "Sn", "Sn", "Sn", "Sn", "Os", "Os"], "frac_coords": [[0.002, 0.998, 0.750], [0.364, 0.364, 0.432], [0.364, 0.364, 0.932], [0.636, 0.636, 0.068], [0.636, 0.636, 0.568], [0.998, 0.002, 0.250], [0.182, 0.182, 0.091], [0.182, 0.182, 0.591], [0.818, 0.818, 0.409], [0.818, 0.818, 0.909], [0.500, 0.500, 0.250], [0.500, 0.500, 0.750]]}

[2]
{"formula": "K3Ga9Ag2", "functional": "GGA-PBE", "state": "relaxed", "volume_a3_per_atom": 24.07, "delta_e_f_kj_per_mol_atoms": -8, "space_group": "Immm", "e_tot_ev_per_atom": -2.67, "cell": [[-2.259, 5.669, 6.578], [2.259, -5.669, 6.578], [2.259, 5.669, -6.578]], "species": ["K", "K", "K", "Ga", "Ga", "Ga", "Ga", "Ga", "Ga", "Ga", "Ga", "Ga", "Ag", "Ag"], "frac_coords": [[0.000, 0.000, 0.000], [0.296, 0.296, 0.000], [0.704, 0.704, 0.000], [0.009, 0.683, 0.325], [0.180, 0.882, 0.298], [0.358, 0.683, 0.675], [0.415, 0.118, 0.298], [0.500, 0.000, 0.500], [0.585, 0.882, 0.702], [0.642, 0.317, 0.325], [0.820, 0.118, 0.702], [0.991, 0.317, 0.675], [0.284, 0.500, 0.784], [0.716, 0.500, 0.216]]}

[3]
{"formula": "NdSm3Dy2Ho6", "functional": "GGA-PBE", "state": "relaxed", "volume_a3_per_atom": 31.97, "delta_e_f_kj_per_mol_atoms": 2, "space_group": "C2/m", "e_tot_ev_per_atom": -4.62, "cell": [[3.091, -5.350, 0.000], [3.091, 5.350, 0.000], [-2.052, 0.000, 11.600]], "species": ["Nd", "Sm", "Sm", "Sm", "Dy", "Dy", "Ho", "Ho", "Ho", "Ho", "Ho", "Ho"], "frac_coords": [[0.000, 0.000, 0.000], [0.167, 0.833, 0.500], [0.500, 0.500, 0.500], [0.833, 0.167, 0.500], [0.333, 0.667, 0.000], [0.667, 0.333, 0.000], [0.084, 0.417, 0.249], [0.250, 0.250, 0.751], [0.417, 0.084, 0.249], [0.583, 0.916, 0.751], [0.750, 0.750, 0.249], [0.916, 0.583, 0.751]]}

[4]
{"formula": "Ta2AgAu", "functional": "GGA-PBE", "state": "relaxed", "polymorph_energy_mev_per_atom": 288.5, "volume_a3_per_atom": 17.90, "delta_e_f_kj_per_mol_atoms": 30, "space_group": "I-4m2", "e_tot_ev_per_atom": -7.15, "cell": [[-2.056, 2.056, 4.232], [2.056, -2.056, 4.232], [2.056, 2.056, -4.232]], "species": ["Ta", "Ta", "Ag", "Au"], "frac_coords": [[0.000, 0.000, 0.000], [0.750, 0.250, 0.500], [0.250, 0.750, 0.500], [0.500, 0.500, 0.000]]}

[5]
{"formula": "Dy3Zn6Pt5", "functional": "GGA-PBE", "state": "relaxed", "volume_a3_per_atom": 18.15, "delta_e_f_kj_per_mol_atoms": -78, "space_group": "Pmmn", "e_tot_ev_per_atom": -4.50, "cell": [[4.207, 0.000, 0.000], [0.000, 12.635, 0.000], [0.000, 0.000, 9.564]], "species": ["Dy", "Dy", "Dy", "Dy", "Dy", "Dy", "Zn", "Zn", "Zn", "Zn", "Zn", "Zn", "Zn", "Zn", "Zn", "Zn", "Zn", "Zn", "Pt", "Pt", "Pt", "Pt", "Pt", "Pt", "Pt", "Pt", "Pt", "Pt"], "frac_coords": [[0.250, 0.053, 0.249], [0.250, 0.447, 0.249], [0.250, 0.750, 0.233], [0.750, 0.250, 0.767], [0.750, 0.553, 0.751], [0.750, 0.947, 0.751], [0.250, 0.071, 0.912], [0.250, 0.250, 0.073], [0.250, 0.250, 0.462], [0.250, 0.429, 0.912], [0.250, 0.598, 0.520], [0.250, 0.902, 0.520], [0.750, 0.098, 0.480], [0.750, 0.402, 0.480], [0.750, 0.571, 0.088], [0.750, 0.750, 0.538], [0.750, 0.750, 0.927], [0.750, 0.929, 0.088], [0.250, 0.096, 0.643], [0.250, 0.404, 0.643], [0.250, 0.633, 0.955], [0.250, 0.750, 0.707], [0.250, 0.867, 0.955], [0.750, 0.133, 0.045], [0.750, 0.250, 0.293], [0.750, 0.367, 0.045], [0.750, 0.596, 0.357], [0.750, 0.904, 0.357]]}

[6]
{"formula": "LiLaGaNi", "functional": "GGA-PBE", "state": "relaxed", "volume_a3_per_atom": 18.18, "delta_e_f_kj_per_mol_atoms": -30, "space_group": "F-43m", "e_tot_ev_per_atom": -4.22, "cell": [[0.000, 3.313, 3.313], [3.313, 0.000, 3.313], [3.313, 3.313, 0.000]], "species": ["Li", "La", "Ga", "Ni"], "frac_coords": [[0.000, 0.000, 0.000], [0.750, 0.750, 0.750], [0.250, 0.250, 0.250], [0.500, 0.500, 0.500]]}

[7]
{"formula": "La2CCl", "functional": "GGA-PBE", "state": "relaxed", "polymorph_energy_mev_per_atom": 314.9, "e_form_raw_ev_per_atom": -0.72, "volume_a3_per_atom": 29.49, "space_group": "I-42d", "e_tot_ev_per_atom": -5.95, "cell": [[-3.290, 3.290, 5.449], [3.290, -3.290, 5.449], [3.290, 3.290, -5.449]], "species": ["La", "La", "La", "La", "C", "C", "Cl", "Cl"], "frac_coords": [[0.057, 0.625, 0.932], [0.375, 0.307, 0.432], [0.693, 0.125, 0.068], [0.875, 0.943, 0.568], [0.000, 0.000, 0.000], [0.750, 0.250, 0.500], [0.250, 0.750, 0.500], [0.500, 0.500, 0.000]]}

[8]
{"formula": "Y5ThSe6", "functional": "GGA-PBE", "state": "relaxed", "e_form_raw_ev_per_atom": -1.72, "volume_a3_per_atom": 24.53, "space_group": "C2/m", "e_tot_ev_per_atom": -6.77, "cell": [[3.550, -6.185, 0.000], [3.550, 6.185, 0.000], [-2.410, 0.000, 6.703]], "species": ["Y", "Y", "Y", "Y", "Y", "Th", "Se", "Se", "Se", "Se", "Se", "Se"], "frac_coords": [[0.000, 0.000, 0.000], [0.166, 0.834, 0.500], [0.335, 0.665, 0.000], [0.665, 0.335, 0.000], [0.834, 0.166, 0.500], [0.500, 0.500, 0.500], [0.075, 0.415, 0.246], [0.244, 0.244, 0.753], [0.415, 0.075, 0.246], [0.585, 0.925, 0.754], [0.756, 0.756, 0.247], [0.925, 0.585, 0.754]]}

[9]
{"formula": "Sr2LiS2", "functional": "GGA-PBE", "state": "relaxed", "polymorph_energy_mev_per_atom": 86.4, "e_form_raw_ev_per_atom": -1.42, "volume_a3_per_atom": 37.92, "space_group": "I4/mmm", "e_tot_ev_per_atom": -4.13, "cell": [[-2.900, 2.900, 5.635], [2.900, -2.900, 5.635], [2.900, 2.900, -5.635]], "species": ["Sr", "Sr", "Li", "S", "S"], "frac_coords": [[0.250, 0.750, 0.500], [0.750, 0.250, 0.500], [0.000, 0.000, 0.000], [0.206, 0.206, 0.000], [0.794, 0.794, 0.000]]}

[10]
{"formula": "Pm3Cd", "functional": "GGA-PBE", "state": "relaxed", "polymorph_energy_mev_per_atom": 33.1, "volume_a3_per_atom": 30.41, "delta_e_f_kj_per_mol_atoms": -10, "space_group": "Pm-3m", "e_tot_ev_per_atom": -3.90, "cell": [[4.955, 0.000, 0.000], [0.000, 4.955, 0.000], [0.000, 0.000, 4.955]], "species": ["Pm", "Pm", "Pm", "Cd"], "frac_coords": [[0.000, 0.000, 0.500], [0.000, 0.500, 0.000], [0.500, 0.000, 0.000], [0.500, 0.500, 0.500]]}